# 1
PBE CaNiTeMo2, relaxed; crystal system = tetragonal; E_form (uncorrected) = 49.6 kcal/mol of atoms; SG = P4/mmm, No. 123
1.0
5.0321 0.0000 0.0000
0.0000 4.3990 0.0000
0.0000 0.0000 5.0321
Ni Mo Te Ca
1 2 1 1
direct
0.0000 0.5000 0.0000
0.0000 0.0000 0.5000
0.5000 0.0000 0.0000
0.5000 0.5000 0.5000
0.0000 0.0000 0.0000

---

# 2
PBE Ca2TiNiMo, relaxed; crystal system = tetragonal; SG = P4/mmm, No. 123
1.0
-0.2742 -3.1114 -4.0708
3.4020 -2.6371 1.7865
-3.4962 -2.8665 2.4264
Ni Mo Ca Ti
1 1 2 1
direct
0.0000 0.0000 0.0000
0.0000 0.5000 0.0000
0.0000 0.0000 0.5000
0.5000 0.0000 0.0000
0.5000 0.5000 0.5000

---

Number 1: E_tot -4.37 eV per atom. Number 2: E_tot -4.78 eV per atom.